No. 1
VASP calculation (PBE) on an optimized crystal structure of Er3HfZn4.

- DFT formation energy: -0.29 eV per atom

a = 3.4675 Å, b = 3.4675 Å, c = 13.9758 Å
α = 90.00°, β = 90.00°, γ = 90.00°
Space group P4/mmm (No. 123)
Asymmetric unit:
Er1 0.0000 0.0000 0.0000 [1 per cell]
Er2 0.0000 0.0000 0.2587 [2 per cell]
Hf1 0.0000 0.0000 0.5000 [1 per cell]
Zn1 0.5000 0.5000 0.1290 [2 per cell]
Zn2 0.5000 0.5000 0.3918 [2 per cell]

---

No. 2
VASP calculation (PBE) on an optimized crystal structure of Pr2DyY6.

- Energy above the lowest structure with this stoichiometry: 0.000 eV per atom
- DFT formation energy: 0.10 eV per atom

a = 16.6826 Å, b = 11.7274 Å, c = 6.1083 Å
α = 90.00°, β = 97.07°, γ = 90.00°
Space group C2/c (No. 15)
Asymmetric unit:
Pr1 0.1677 0.1050 0.0774 [8 per cell]
Dy1 0.0000 0.3999 0.2500 [4 per cell]
Y1 0.0488 0.1374 0.5149 [8 per cell]
Y2 0.1134 0.3627 0.8204 [8 per cell]
Y3 0.2115 0.3691 0.3582 [8 per cell]

---

No. 3
VASP calculation (PBE) on an optimized crystal structure of Pm4Tm2Pb.

- DFT formation energy: -0.07 eV per atom

a = 5.6661 Å, b = 6.8965 Å, c = 11.9005 Å
α = 90.00°, β = 103.20°, γ = 90.00°
Space group P2_1/m (No. 11)
Asymmetric unit:
Pm1 0.0876 0.2500 0.1337 [2 per cell]
Pm2 0.2371 0.7500 0.4196 [2 per cell]
Pm3 0.3419 0.5102 0.7122 [4 per cell]
Tm1 0.1954 0.2500 0.4339 [2 per cell]
Tm2 0.4909 0.7500 0.0244 [2 per cell]
Pb1 0.0549 0.7500 0.1480 [2 per cell]

---

No. 4
VASP calculation (PBE) on an optimized crystal structure of KTa2Te.

- Formation energy from raw total energies: 0.89 eV per atom

a = 3.1924 Å, b = 6.2050 Å, c = 11.0704 Å
α = 90.00°, β = 90.00°, γ = 90.00°
Space group Imm2 (No. 44)
Asymmetric unit:
K1 0.0000 0.0000 0.0000 [2 per cell]
Ta1 0.0000 0.0000 0.5024 [2 per cell]
Ta2 0.0000 0.5000 0.8129 [2 per cell]
Te1 0.0000 0.5000 0.2163 [2 per cell]

---

No. 5
VASP calculation (PBE) on an optimized crystal structure of Nd2EuTm.

- Energy above the lowest structure with this stoichiometry: 0.099 eV per atom
- DFT formation energy: 0.14 eV per atom

a = 3.5935 Å, b = 3.5935 Å, c = 38.2226 Å
α = 90.00°, β = 90.00°, γ = 120.00°
Space group R-3m (No. 166, hexagonal axes)
Asymmetric unit:
Nd1 0.0000 0.0000 0.0917 [6 per cell]
Eu1 0.0000 0.0000 0.0000 [3 per cell]
Tm1 0.0000 0.0000 0.5000 [3 per cell]

---

No. 6
VASP calculation (PBE) on an optimized crystal structure of Th2VGe4Pt3.

- DFT formation energy: -0.83 eV per atom

a = 4.3037 Å, b = 4.3037 Å, c = 10.4190 Å
α = 90.00°, β = 90.00°, γ = 90.00°
Space group P-4m2 (No. 115)
Asymmetric unit:
Th1 0.0000 0.5000 0.2474 [2 per cell]
V1 0.5000 0.5000 0.0000 [1 per cell]
Ge1 0.0000 0.0000 0.5000 [1 per cell]
Ge2 0.0000 0.5000 0.8667 [2 per cell]
Ge3 0.5000 0.5000 0.5000 [1 per cell]
Pt1 0.0000 0.0000 0.0000 [1 per cell]
Pt2 0.0000 0.5000 0.6273 [2 per cell]

---

| no. | VASP energy (eV per atom) |
| --- | --- |
| 1 | -3.879 |
| 2 | -5.786 |
| 3 | -4.588 |
| 4 | -6.101 |
| 5 | -5.934 |
| 6 | -6.887 |